# Rb2AcV3F12, optimized geometry, DFT GGA+U
# E = -106.52 eV for the cell shown
# Volume = 307.8 Å³/cell
# SG = R-3m
# Theoretical density = 4.20 g/cm³
data_Rb2AcV3F12
_chemical_formula_sum 'Rb2 Ac1 V3 F12'
_space_group_name_H-M_alt 'P 1'
_space_group_IT_number 1
_space_group_name_Hall 'P 1'
_cell_length_a 7.405
_cell_length_b 7.405
_cell_length_c 7.405
_cell_angle_alpha 63.24
_cell_angle_beta 63.24
_cell_angle_gamma 63.24
loop_
_atom_site_label
_atom_site_type_symbol
_atom_site_fract_x
_atom_site_fract_y
_atom_site_fract_z
Rb1 Rb 0.384 0.384 0.384
F1 F 0.899 0.268 0.268
F2 F 0.598 0.126 0.126
V1 V 0.500 0.000 0.000
F3 F 0.732 0.732 0.101
F4 F 0.268 0.899 0.268
F5 F 0.874 0.402 0.874
V2 V 0.000 0.500 0.000
F6 F 0.126 0.126 0.598
F7 F 0.732 0.101 0.732
F8 F 0.402 0.874 0.874
F9 F 0.874 0.874 0.402
F10 F 0.268 0.268 0.899
V3 V 0.000 0.000 0.500
Ac1 Ac 0.000 0.000 0.000
F11 F 0.101 0.732 0.732
F12 F 0.126 0.598 0.126
Rb2 Rb 0.616 0.616 0.616